Record 1
Here is a geometry-optimized MnBeTl structure from Alexandria via LeMat-Bulk. Energies are from PBE.

Summary:
raw total energy = -27.44 eV/cell
formation enthalpy at 0 K = 0.514 eV per atom
M_tot = 5.819 μB/cell
relative energy among the computed polymorphs = 13 meV/atom

Cell lengths 2.988, 2.988, 10.695 Å; angles 90.00, 90.00, 90.00 degrees
Space group I4mm (No. 107)
Inequivalent atoms, fractional coordinates:
Mn: 0.000 0.000 0.000 x2
Be: 0.000 0.000 0.398 x2
Tl: 0.000 0.000 0.704 x2

=====

Record 2
Here is a geometry-optimized DySi3Pd10 structure from Alexandria via LeMat-Bulk. Energies are from PBE.

Summary:
raw total energy = -660.20 eV/cell
M_tot = 0.000 μB/cell
energy relative to the elements, uncorrected = -0.695 eV/atom

Cell lengths 12.243, 12.243, 12.243 Å; angles 90.00, 90.00, 90.00 degrees
Space group Fm-3m (No. 225)
Inequivalent atoms, fractional coordinates:
Dy: 0.250 0.250 0.250 x8
Si: 0.000 0.000 0.235 x24
Pd: 0.000 0.172 0.328 x48
Pd: 0.116 0.116 0.116 x32

=====

Record 3
Here is a geometry-optimized Be3Os5 structure from Alexandria via LeMat-Bulk. Energies are from PBE.

Summary:
raw total energy = -133.71 eV/cell
formation enthalpy at 0 K = 0.059 eV per atom
M_tot = 0.000 μB/cell
relative energy among the computed polymorphs = 33 meV/atom

Cell lengths 6.7234, 6.7234, 4.8875 Å; angles 90.00, 90.00, 120.00 degrees
Space group P6_3/mcm (No. 193)
Inequivalent atoms, fractional coordinates:
Be: 0.0000 0.3980 0.2500 x6
Os: 0.0000 0.2358 0.7500 x6
Os: 0.3333 0.6667 0.0000 x4

=====

Record 4
Here is a geometry-optimized LiRuN3 structure from Alexandria via LeMat-Bulk. Energies are from PBE.

Summary:
raw total energy = -25.57 eV/cell
M_tot = 0.000 μB/cell
energy relative to the elements, uncorrected = 2.119 eV/atom

Cell lengths 3.484, 3.484, 3.484 Å; angles 90.00, 90.00, 90.00 degrees
Space group Pm-3m (No. 221)
Inequivalent atoms, fractional coordinates:
Li: 0.000 0.000 0.000 x1
Ru: 0.500 0.500 0.500 x1
N: 0.000 0.000 0.500 x3

=====

- Which value of raw total energy does entry 4 give?
  -25.57 eV/cell